Record 1
# TbPu2Pt9 (PBE, relaxed)
data_TbPu2Pt9
_symmetry_space_group_name_H-M 'R -3 m'
_symmetry_Int_Tables_number 166
_symmetry_space_group_name_Hall '-R 3 2"'
_cell_length_a 5.4003
_cell_length_b 5.4003
_cell_length_c 26.7362
_cell_angle_alpha 90.00
_cell_angle_beta 90.00
_cell_angle_gamma 120.00
loop_
_atom_site_label
_atom_site_type_symbol
_atom_site_fract_x
_atom_site_fract_y
_atom_site_fract_z
_atom_site_occupancy
Tb1 Tb 0.0000 0.0000 0.0000 1
Pu1 Pu 0.0000 0.0000 0.1422 1
Pt1 Pt 0.0000 0.0000 0.3328 1
Pt2 Pt 0.0000 0.0000 0.5000 1
Pt3 Pt 0.0034 0.5017 0.9152 1
# Crystal system: trigonal
# Fermi-level density of states: 81.34 states/eV per cell
# Formation energy from the elements: -9.4 eV/f.u.



Record 2
# Ba3DyGa2O8 (PBE, relaxed)
data_Ba3DyGa2O8
_symmetry_space_group_name_H-M 'P -3 m 1'
_symmetry_Int_Tables_number 164
_symmetry_space_group_name_Hall '-P 3 2"'
_cell_length_a 6.0154
_cell_length_b 6.0154
_cell_length_c 7.6455
_cell_angle_alpha 90.00
_cell_angle_beta 90.00
_cell_angle_gamma 120.00
loop_
_atom_site_label
_atom_site_type_symbol
_atom_site_fract_x
_atom_site_fract_y
_atom_site_fract_z
_atom_site_occupancy
Ba1 Ba 0.0000 0.0000 0.0000 1
Ba2 Ba 0.3333 0.6667 0.6549 1
Dy1 Dy 0.0000 0.0000 0.5000 1
Ga1 Ga 0.3333 0.6667 0.2194 1
O1 O 0.1694 0.3388 0.3191 1
O2 O 0.3333 0.6667 0.9816 1
# Formation energy without anion corrections: -2.443 eV per atom
# Crystal system: trigonal
# Fermi-level density of states: 14.18 states/eV per cell



Record 3
# Ho2Be4Si3Ru (PBE, relaxed)
data_Ho2Be4Si3Ru
_symmetry_space_group_name_H-M 'P -4 m 2'
_symmetry_Int_Tables_number 115
_cell_length_a 3.786
_cell_length_b 3.786
_cell_length_c 9.911
_cell_angle_alpha 90.00
_cell_angle_beta 90.00
_cell_angle_gamma 90.00
loop_
_symmetry_equiv_pos_as_xyz
'x,y,z'
'y,-x,-z'
'-x,-y,z'
'-y,x,-z'
'-x,y,z'
'-y,-x,-z'
'x,-y,z'
'y,x,-z'
loop_
_atom_site_label
_atom_site_type_symbol
_atom_site_fract_x
_atom_site_fract_y
_atom_site_fract_z
_atom_site_occupancy
Ho1 Ho 0.000 0.500 0.246 1
Be1 Be 0.000 0.000 0.000 1
Be2 Be 0.000 0.500 0.636 1
Be3 Be 0.500 0.500 0.000 1
Si1 Si 0.000 0.500 0.867 1
Si2 Si 0.500 0.500 0.500 1
Ru1 Ru 0.000 0.000 0.500 1
# Formation energy without anion corrections: -0.462 eV per atom
# Crystal system: tetragonal
# Fermi-level density of states: 3.37 states/eV per cell



Record 4
# ReSi4Tc2 (PBE, relaxed)
data_ReSi4Tc2
_symmetry_space_group_name_H-M 'I 4/m m m'
_symmetry_Int_Tables_number 139
_symmetry_space_group_name_Hall '-I 4 2'
_cell_length_a 4.558
_cell_length_b 4.558
_cell_length_c 12.171
_cell_angle_alpha 90.00
_cell_angle_beta 90.00
_cell_angle_gamma 90.00
loop_
_atom_site_label
_atom_site_type_symbol
_atom_site_fract_x
_atom_site_fract_y
_atom_site_fract_z
_atom_site_occupancy
Re1 Re 0.000 0.000 0.000 1
Si1 Si 0.000 0.000 0.203 1
Si2 Si 0.000 0.500 0.000 1
Tc1 Tc 0.000 0.000 0.394 1
# Formation energy without anion corrections: 0.653 eV per atom
# Crystal system: tetragonal
# Fermi-level density of states: 12.09 states/eV per cell



Record 5
# TiCdFe2 (PBE, relaxed)
data_TiCdFe2
_symmetry_space_group_name_H-M 'I -4 2 d'
_symmetry_Int_Tables_number 122
_symmetry_space_group_name_Hall 'I -4 2bw'
_cell_length_a 3.818
_cell_length_b 3.818
_cell_length_c 18.107
_cell_angle_alpha 90.00
_cell_angle_beta 90.00
_cell_angle_gamma 90.00
loop_
_atom_site_label
_atom_site_type_symbol
_atom_site_fract_x
_atom_site_fract_y
_atom_site_fract_z
_atom_site_occupancy
Ti1 Ti 0.000 0.000 0.000 1
Cd1 Cd 0.000 0.000 0.500 1
Fe1 Fe 0.221 0.250 0.125 1
# Crystal system: tetragonal
# Fermi-level density of states: 15.74 states/eV per cell
# Formation energy from the elements: 2.4 eV/f.u.



Record 6
# Na3Ho2MnTe6 (PBE, relaxed)
data_Na3Ho2MnTe6
_symmetry_space_group_name_H-M 'C 1 2/m 1'
_symmetry_Int_Tables_number 12
_cell_length_a 7.459
_cell_length_b 12.996
_cell_length_c 7.946
_cell_angle_alpha 90.00
_cell_angle_beta 108.28
_cell_angle_gamma 90.00
loop_
_symmetry_equiv_pos_as_xyz
'x,y,z'
'-x,-y,-z'
'-x,y,-z'
'x,-y,z'
'x+1/2,y+1/2,z'
'-x+1/2,-y+1/2,-z'
'-x+1/2,y+1/2,-z'
'x+1/2,-y+1/2,z'
loop_
_atom_site_label
_atom_site_type_symbol
_atom_site_fract_x
_atom_site_fract_y
_atom_site_fract_z
_atom_site_occupancy
Na1 Na 0.000 0.000 0.000 1
Na2 Na 0.000 0.329 0.000 1
Ho1 Ho 0.000 0.167 0.500 1
Mn1 Mn 0.000 0.500 0.500 1
Te1 Te 0.233 0.342 0.725 1
Te2 Te 0.236 0.500 0.281 1
# Formation energy without anion corrections: -0.985 eV per atom
# Crystal system: monoclinic
# Fermi-level density of states: 10.32 states/eV per cell



Record 7
# SmDy3Th2N6 (PBE, relaxed)
data_SmDy3Th2N6
_symmetry_space_group_name_H-M 'C 1 2/m 1'
_symmetry_Int_Tables_number 12
_cell_length_a 15.491
_cell_length_b 3.567
_cell_length_c 7.118
_cell_angle_alpha 90.00
_cell_angle_beta 103.17
_cell_angle_gamma 90.00
loop_
_symmetry_equiv_pos_as_xyz
'x,y,z'
'-x,-y,-z'
'-x,y,-z'
'x,-y,z'
'x+1/2,y+1/2,z'
'-x+1/2,-y+1/2,-z'
'-x+1/2,y+1/2,-z'
'x+1/2,-y+1/2,z'
loop_
_atom_site_label
_atom_site_type_symbol
_atom_site_fract_x
_atom_site_fract_y
_atom_site_fract_z
_atom_site_occupancy
Sm1 Sm 0.000 0.000 0.000 1
Dy1 Dy 0.000 0.000 0.500 1
Dy2 Dy 0.164 0.500 0.834 1
Th1 Th 0.165 0.500 0.329 1
N1 N 0.001 0.500 0.256 1
N2 N 0.165 0.000 0.585 1
N3 N 0.168 0.000 0.083 1
# Formation energy without anion corrections: -1.627 eV per atom
# Crystal system: monoclinic
# Fermi-level density of states: 5.22 states/eV per cell



Record 8
# CaYTa2 (PBE, relaxed)
data_CaYTa2
_symmetry_space_group_name_H-M 'R 3 m'
_symmetry_Int_Tables_number 160
_symmetry_space_group_name_Hall 'R 3 -2"'
_cell_length_a 4.7264
_cell_length_b 4.7264
_cell_length_c 15.6652
_cell_angle_alpha 90.00
_cell_angle_beta 90.00
_cell_angle_gamma 120.00
loop_
_atom_site_label
_atom_site_type_symbol
_atom_site_fract_x
_atom_site_fract_y
_atom_site_fract_z
_atom_site_occupancy
Ca1 Ca 0.0000 0.0000 0.0000 1
Y1 Y 0.0000 0.0000 0.7790 1
Ta1 Ta 0.0000 0.0000 0.2269 1
Ta2 Ta 0.0000 0.0000 0.5420 1
# Crystal system: trigonal
# Fermi-level density of states: 10.90 states/eV per cell
# Formation energy from the elements: 2.0 eV/f.u.



Which value of Fermi-level density of states does entry 8 give?
10.90 states/eV per cell



Repeat the fifth record exactly.
# TiCdFe2 (PBE, relaxed)
data_TiCdFe2
_symmetry_space_group_name_H-M 'I -4 2 d'
_symmetry_Int_Tables_number 122
_symmetry_space_group_name_Hall 'I -4 2bw'
_cell_length_a 3.818
_cell_length_b 3.818
_cell_length_c 18.107
_cell_angle_alpha 90.00
_cell_angle_beta 90.00
_cell_angle_gamma 90.00
loop_
_atom_site_label
_atom_site_type_symbol
_atom_site_fract_x
_atom_site_fract_y
_atom_site_fract_z
_atom_site_occupancy
Ti1 Ti 0.000 0.000 0.000 1
Cd1 Cd 0.000 0.000 0.500 1
Fe1 Fe 0.221 0.250 0.125 1
# Crystal system: tetragonal
# Fermi-level density of states: 15.74 states/eV per cell
# Formation energy from the elements: 2.4 eV/f.u.



Copy entry 6 word for word.
# Na3Ho2MnTe6 (PBE, relaxed)
data_Na3Ho2MnTe6
_symmetry_space_group_name_H-M 'C 1 2/m 1'
_symmetry_Int_Tables_number 12
_cell_length_a 7.459
_cell_length_b 12.996
_cell_length_c 7.946
_cell_angle_alpha 90.00
_cell_angle_beta 108.28
_cell_angle_gamma 90.00
loop_
_symmetry_equiv_pos_as_xyz
'x,y,z'
'-x,-y,-z'
'-x,y,-z'
'x,-y,z'
'x+1/2,y+1/2,z'
'-x+1/2,-y+1/2,-z'
'-x+1/2,y+1/2,-z'
'x+1/2,-y+1/2,z'
loop_
_atom_site_label
_atom_site_type_symbol
_atom_site_fract_x
_atom_site_fract_y
_atom_site_fract_z
_atom_site_occupancy
Na1 Na 0.000 0.000 0.000 1
Na2 Na 0.000 0.329 0.000 1
Ho1 Ho 0.000 0.167 0.500 1
Mn1 Mn 0.000 0.500 0.500 1
Te1 Te 0.233 0.342 0.725 1
Te2 Te 0.236 0.500 0.281 1
# Formation energy without anion corrections: -0.985 eV per atom
# Crystal system: monoclinic
# Fermi-level density of states: 10.32 states/eV per cell



What is the Fermi-level density of states in the second record?
14.18 states/eV per cell